The following is a meta-GGA SCAN calculation of a PBEsol-optimized structure of ScSbTe2Se, from the Alexandria database.

Output
As for the density of states at the Fermi level: 0.66 states/eV/atom. The formation energy without anion corrections is 0.297 eV per atom. As for the symmetry: No. 123.

Cell: 5.3787 5.3787 5.1992 Å, 90.00 90.00 90.00°
Closest atoms and distances in Å follow each position.
Element x y z (fractional)
1 Sc 0.5000 0.5000 0.5000  8 Te 3.74, 4 Sb 3.80
2 Sb 0.0000 0.0000 0.5000  2 Se 2.60
3 Te 0.0000 0.5000 0.0000  2 Se 2.69
4 Te 0.5000 0.0000 0.0000  2 Se 2.69
5 Se 0.0000 0.0000 0.0000  2 Sb 2.60, 4 Te 2.69

The following is a meta-GGA SCAN calculation of a PBEsol-optimized structure of KAg2Os, from the Alexandria database.

Output
As for the density of states at the Fermi level: 0.40 states/eV/atom. As for the symmetry: No. 44. Its energy of formation is 0.84 eV per atom.

Cell: 2.6630 5.1992 6.1760 Å, 114.89 102.45 90.00°
Closest atoms and distances in Å follow each position.
Element x y z (fractional)
1 Ag 0.9973 0.9973 0.9945  4 Ag 2.66-2.83, 2 Os 2.74, 4 K 2.92
2 Ag 0.7272 0.2272 0.4544  4 Ag 2.66-2.83, 4 Os 2.97
3 K 0.4987 0.4987 0.9975  2 K 2.66, 4 Ag 2.92
4 Os 0.2768 0.7768 0.5536  2 Os 2.66, 6 Ag 2.74-2.97

The following is a meta-GGA SCAN calculation of a PBEsol-optimized structure of K2TeRu, from the Alexandria database.

Output
As for the density of states at the Fermi level: 0.66 states/eV/atom. The formation energy without anion corrections is 0.353 eV per atom. As for the symmetry: No. 139.

Cell: 4.2015 4.2015 6.1150 Å, 110.09 110.09 90.00°
Closest atoms and distances in Å follow each position.
Element x y z (fractional)
1 K 0.7500 0.2500 0.5000  4 K 2.97
2 K 0.2500 0.7500 0.5000  4 K 2.97
3 Ru 0.5000 0.5000 0.0000  4 Te 2.97
4 Te 0.0000 0.0000 0.0000  4 Ru 2.97

The following is a meta-GGA SCAN calculation of a PBEsol-optimized structure of In2CoOs, from the Alexandria database.

Output
As for the density of states at the Fermi level: 0.69 states/eV/atom. As for the symmetry: No. 119. Its energy of formation is 0.49 eV per atom.

Cell: 3.8891 3.8891 5.0539 Å, 112.63 112.63 90.00°
Closest atoms and distances in Å follow each position.
Element x y z (fractional)
1 Co 0.2500 0.7500 0.5000  8 In 2.75-2.88, 4 Os 2.88
2 In 0.0000 0.0000 0.0000  4 Os 2.75, 4 In 2.88, 4 Co 2.88
3 In 0.7500 0.2500 0.5000  4 Co 2.75, 4 In 2.88, 4 Os 2.88
4 Os 0.5000 0.5000 0.0000  8 In 2.75-2.88, 4 Co 2.88

The following is a meta-GGA SCAN calculation of a PBEsol-optimized structure of ZnRe2Br, from the Alexandria database.

Output
As for the density of states at the Fermi level: 0.91 states/eV/atom. The formation energy without anion corrections is 0.415 eV per atom. As for the symmetry: No. 99.

Cell: 2.9708 2.9708 7.8708 Å, 90.00 90.00 90.00°
Closest atoms and distances in Å follow each position.
Element x y z (fractional)
1 Br 0.5000 0.5000 0.7930  4 Re 2.84, 4 Br 2.97
2 Re 0.0000 0.0000 0.0362  4 Re 2.60, 4 Br 2.84
3 Re 0.5000 0.5000 0.2303  4 Re 2.60, 4 Zn 2.67
4 Zn 0.0000 0.0000 0.4405  4 Re 2.67, 4 Zn 2.97

The following is a meta-GGA SCAN calculation of a PBEsol-optimized structure of KFe2Cu, from the Alexandria database.

Output
As for the density of states at the Fermi level: 0.63 states/eV/atom. As for the symmetry: No. 123. Its energy of formation is 0.75 eV per atom.

Cell: 3.1332 3.1332 7.4993 Å, 90.00 90.00 90.00°
Closest atoms and distances in Å follow each position.
Element x y z (fractional)
1 Cu 0.5000 0.5000 0.5000  8 Fe 2.47
2 Fe 0.0000 0.0000 0.6446  1 Fe 2.17
3 Fe 0.0000 0.0000 0.3554  1 Fe 2.17
4 K 0.5000 0.5000 0.0000  4 K 3.13, 8 Fe 3.47

The following is a meta-GGA SCAN calculation of a PBEsol-optimized structure of NbInPb2O6, from the Alexandria database.

Output
As for the density of states at the Fermi level: 0.00 states/eV/atom. The formation energy without anion corrections is -1.845 eV per atom. As for the symmetry: No. 225.

Cell: 5.8060 5.8060 5.8060 Å, 60.00 60.00 60.00°
Closest atoms and distances in Å follow each position.
Element x y z (fractional)
1 Nb 0.0000 0.0000 0.0000  6 O 1.99
2 In 0.5000 0.5000 0.5000  6 O 2.12
3 Pb 0.7500 0.7500 0.7500  12 O 2.90
4 Pb 0.2500 0.2500 0.2500  12 O 2.90
5 O 0.2421 0.7579 0.7579  1 Nb 1.99, 1 In 2.12
6 O 0.7579 0.2421 0.2421  1 Nb 1.99, 1 In 2.12
7 O 0.2421 0.2421 0.7579  1 Nb 1.99, 1 In 2.12
8 O 0.7579 0.7579 0.2421  1 Nb 1.99, 1 In 2.12
9 O 0.2421 0.7579 0.2421  1 Nb 1.99, 1 In 2.12
10 O 0.7579 0.2421 0.7579  1 Nb 1.99, 1 In 2.12

The following is a meta-GGA SCAN calculation of a PBEsol-optimized structure of RbAl3Ag, from the Alexandria database.

Output
As for the density of states at the Fermi level: 0.51 states/eV/atom. As for the symmetry: No. 221. Its energy of formation is 0.43 eV per atom.

Cell: 5.0521 5.0521 5.0521 Å, 90.00 90.00 90.00°
Closest atoms and distances in Å follow each position.
Element x y z (fractional)
1 Rb 0.5000 0.5000 0.5000  12 Al 3.57
2 Ag 0.0000 0.0000 0.0000  6 Al 2.53
3 Al 0.0000 0.5000 0.0000  2 Ag 2.53
4 Al 0.0000 0.0000 0.5000  2 Ag 2.53
5 Al 0.5000 0.0000 0.0000  2 Ag 2.53

The following is a meta-GGA SCAN calculation of a PBEsol-optimized structure of YMoAu2, from the Alexandria database.

Output
As for the density of states at the Fermi level: 0.84 states/eV/atom. As for the symmetry: No. 47. Its energy of formation is -0.21 eV per atom.

Cell: 2.9873 4.0058 6.1785 Å, 90.00 90.00 90.00°
Closest atoms and distances in Å follow each position.
Element x y z (fractional)
1 Au 0.0000 0.0000 0.7770  3 Au 2.76-2.99, 4 Mo 2.85, 4 Y 3.03
2 Au 0.0000 0.0000 0.2230  3 Au 2.76-2.99, 4 Mo 2.85, 4 Y 3.03
3 Mo 0.5000 0.5000 0.0000  8 Au 2.85, 2 Mo 2.99, 2 Y 3.09
4 Y 0.5000 0.5000 0.5000  2 Y 2.99, 8 Au 3.03, 2 Mo 3.09

The following is a meta-GGA SCAN calculation of a PBEsol-optimized structure of NdMgB5O10, from the Alexandria database.

Output
As for the density of states at the Fermi level: 0.00 states/eV/atom. The formation energy without anion corrections is -2.948 eV per atom. As for the symmetry: No. 14.

Cell: 7.6087 8.6795 9.4243 Å, 87.14 90.00 90.00°
Closest atoms and distances in Å follow each position.
Element x y z (fractional)
1 Nd 0.8119 0.1835 0.7650  7 O 2.34-2.59
2 Nd 0.1881 0.8165 0.2350  7 O 2.34-2.59
3 Nd 0.3119 0.3165 0.7350  7 O 2.34-2.59
4 Nd 0.6881 0.6835 0.2650  7 O 2.34-2.59
5 Mg 0.0889 0.8945 0.6242  5 O 2.06-2.23
6 Mg 0.9111 0.1055 0.3758  5 O 2.06-2.23
7 Mg 0.5889 0.6055 0.8758  5 O 2.06-2.23
8 Mg 0.4111 0.3945 0.1242  5 O 2.06-2.23
9 B 0.1714 0.0160 0.8907  4 O 1.46-1.48
10 B 0.8286 0.9840 0.1093  4 O 1.46-1.48
11 B 0.6714 0.4840 0.6093  4 O 1.46-1.48
12 B 0.3286 0.5160 0.3907  4 O 1.46-1.48
13 B 0.4191 0.9149 0.7345  4 O 1.46-1.49
14 B 0.5809 0.0851 0.2655  4 O 1.46-1.49
15 B 0.9191 0.5851 0.7655  4 O 1.46-1.49
16 B 0.0809 0.4149 0.2345  4 O 1.46-1.49
17 B 0.1879 0.5686 0.9142  3 O 1.37-1.38
18 B 0.8121 0.4314 0.0858  3 O 1.37-1.38
19 B 0.6879 0.9314 0.5858  3 O 1.37-1.38
20 B 0.3121 0.0686 0.4142  3 O 1.37-1.38
21 B 0.5317 0.2800 0.4481  4 O 1.45-1.50
22 B 0.4683 0.7200 0.5519  4 O 1.45-1.50
23 B 0.0317 0.2200 0.0519  4 O 1.45-1.50
24 B 0.9683 0.7800 0.9481  4 O 1.45-1.50
25 B 0.4038 0.8475 0.9963  3 O 1.35-1.39
26 B 0.5962 0.1525 0.0037  3 O 1.35-1.39
27 B 0.9038 0.6525 0.5037  3 O 1.35-1.39
28 B 0.0962 0.3475 0.4963  3 O 1.35-1.39
29 O 0.0832 0.5085 0.8109  2 B 1.38-1.47
30 O 0.9168 0.4915 0.1891  2 B 1.38-1.47
31 O 0.5832 0.9915 0.6891  2 B 1.38-1.47
32 O 0.4168 0.0085 0.3109  2 B 1.38-1.47
33 O 0.1289 0.6882 0.9912  2 B 1.37-1.50
34 O 0.8711 0.3118 0.0088  2 B 1.37-1.50
35 O 0.6289 0.8118 0.5088  2 B 1.37-1.50
36 O 0.3711 0.1882 0.4912  2 B 1.37-1.50
37 O 0.6037 0.3276 0.5867  2 B 1.48-1.49
38 O 0.3963 0.6724 0.4133  2 B 1.48-1.49
39 O 0.1037 0.1724 0.9133  2 B 1.48-1.49
40 O 0.8963 0.8276 0.0867  2 B 1.48-1.49
41 O 0.2816 0.0305 0.7609  2 B 1.48
42 O 0.7184 0.9695 0.2391  2 B 1.48
43 O 0.7816 0.4695 0.7391  2 B 1.48
44 O 0.2184 0.5305 0.2609  2 B 1.48
45 O 0.3503 0.5014 0.9284  1 B 1.37
46 O 0.6497 0.4986 0.0716  1 B 1.37
47 O 0.8503 0.9986 0.5716  1 B 1.37
48 O 0.1497 0.0014 0.4284  1 B 1.37
49 O 0.2241 0.4602 0.5127  2 B 1.39-1.46
50 O 0.7759 0.5398 0.4873  2 B 1.39-1.46
51 O 0.7241 0.0398 0.9873  2 B 1.39-1.46
52 O 0.2759 0.9602 0.0127  2 B 1.39-1.46
53 O 0.3471 0.8168 0.6266  2 B 1.45-1.46
54 O 0.6529 0.1832 0.3734  2 B 1.45-1.46
55 O 0.8471 0.6832 0.8734  2 B 1.45-1.46
56 O 0.1529 0.3168 0.1266  2 B 1.45-1.46
57 O 0.4640 0.8169 0.8634  2 B 1.37-1.49
58 O 0.5360 0.1831 0.1366  2 B 1.37-1.49
59 O 0.9640 0.6831 0.6366  2 B 1.37-1.49
60 O 0.0360 0.3169 0.3634  2 B 1.37-1.49
61 O 0.0409 0.2666 0.6140  1 B 1.35
62 O 0.9591 0.7334 0.3860  1 B 1.35
63 O 0.5409 0.2334 0.8860  1 B 1.35
64 O 0.4591 0.7666 0.1140  1 B 1.35
65 O 0.0242 0.9134 0.8534  2 B 1.48-1.49
66 O 0.9758 0.0866 0.1466  2 B 1.48-1.49
67 O 0.5242 0.5866 0.6466  2 B 1.48-1.49
68 O 0.4758 0.4134 0.3534  2 B 1.48-1.49

The following is a meta-GGA SCAN calculation of a PBEsol-optimized structure of CsHgN2O, from the Alexandria database.

Output
As for the density of states at the Fermi level: 0.57 states/eV/atom. The formation energy without anion corrections is 2.369 eV per atom. As for the symmetry: No. 123.

Cell: 4.2484 4.4140 4.4140 Å, 90.00 90.00 90.00°
Closest atoms and distances in Å follow each position.
Element x y z (fractional)
1 Cs 0.0000 0.0000 0.0000  2 O 2.12, 4 N 2.21
2 Hg 0.5000 0.5000 0.5000  8 N 3.06, 4 O 3.12
3 O 0.5000 0.0000 0.0000  2 Cs 2.12
4 N 0.0000 0.0000 0.5000  2 Cs 2.21
5 N 0.0000 0.5000 0.0000  2 Cs 2.21

The following is a meta-GGA SCAN calculation of a PBEsol-optimized structure of TlPtRh, from the Alexandria database.

Output
As for the density of states at the Fermi level: 1.34 states/eV/atom. As for the symmetry: No. 216. Its energy of formation is 0.29 eV per atom.

Cell: 4.3630 4.3630 4.3630 Å, 60.00 60.00 60.00°
Closest atoms and distances in Å follow each position.
Element x y z (fractional)
1 Pt 0.7500 0.7500 0.7500  4 Rh 2.67, 4 Tl 2.67
2 Rh 0.0000 0.0000 0.0000  4 Pt 2.67
3 Tl 0.5000 0.5000 0.5000  4 Pt 2.67

The following is a meta-GGA SCAN calculation of a PBEsol-optimized structure of Nb2GaGeRh, from the Alexandria database.

Output
As for the density of states at the Fermi level: 1.07 states/eV/atom. As for the symmetry: No. 123. Its energy of formation is 1.20 eV per atom.

Cell: 4.3583 4.7123 4.7123 Å, 90.00 90.00 90.00°
Closest atoms and distances in Å follow each position.
Element x y z (fractional)
1 Nb 0.0000 0.0000 0.5000  2 Ga 2.36
2 Nb 0.0000 0.5000 0.0000  2 Ga 2.36
3 Rh 0.5000 0.5000 0.5000  8 Nb 3.21, 4 Ge 3.33
4 Ge 0.5000 0.0000 0.0000  2 Ga 2.18
5 Ga 0.0000 0.0000 0.0000  2 Ge 2.18, 4 Nb 2.36

The following is a meta-GGA SCAN calculation of a PBEsol-optimized structure of CeZnSi, from the Alexandria database.

Output
As for the density of states at the Fermi level: 1.58 states/eV/atom. The formation energy without anion corrections is -0.596 eV per atom. As for the symmetry: No. 187.

Cell: 4.0738 4.1136 4.1136 Å, 120.00 90.00 90.00°
Closest atoms and distances in Å follow each position.
Element x y z (fractional)
1 Zn 0.5000 0.6667 0.3333  3 Si 2.37
2 Si 0.5000 0.3333 0.6667  3 Zn 2.37
3 Ce 0.0000 0.0000 0.0000  6 Si 3.13, 6 Zn 3.13

The following is a meta-GGA SCAN calculation of a PBEsol-optimized structure of DyHoHg2, from the Alexandria database.

Output
As for the density of states at the Fermi level: 0.57 states/eV/atom. As for the symmetry: No. 225. Its energy of formation is -0.71 eV per atom.

Cell: 5.1546 5.1546 5.1546 Å, 60.00 60.00 60.00°
Closest atoms and distances in Å follow each position.
Element x y z (fractional)
1 Ho 0.5000 0.5000 0.5000  8 Hg 3.16
2 Hg 0.7500 0.7500 0.7500  4 Dy 3.16, 4 Ho 3.16
3 Hg 0.2500 0.2500 0.2500  4 Dy 3.16, 4 Ho 3.16
4 Dy 0.0000 0.0000 0.0000  8 Hg 3.16

The following is a meta-GGA SCAN calculation of a PBEsol-optimized structure of RbFeW3, from the Alexandria database.

Output
As for the density of states at the Fermi level: 0.69 states/eV/atom. As for the symmetry: No. 221. Its energy of formation is 2.24 eV per atom.

Cell: 4.6062 4.6062 4.6062 Å, 90.00 90.00 90.00°
Closest atoms and distances in Å follow each position.
Element x y z (fractional)
1 Rb 0.5000 0.5000 0.5000  12 W 3.26
2 W 0.0000 0.5000 0.0000  2 Fe 2.30
3 W 0.0000 0.0000 0.5000  2 Fe 2.30
4 W 0.5000 0.0000 0.0000  2 Fe 2.30
5 Fe 0.0000 0.0000 0.0000  6 W 2.30

The following is a meta-GGA SCAN calculation of a PBEsol-optimized structure of TaBI3, from the Alexandria database.

Output
As for the density of states at the Fermi level: 0.63 states/eV/atom. The formation energy without anion corrections is 1.545 eV per atom. As for the symmetry: No. 221.

Cell: 4.8883 4.8883 4.8883 Å, 90.00 90.00 90.00°
Closest atoms and distances in Å follow each position.
Element x y z (fractional)
1 I 0.0000 0.5000 0.0000  2 B 2.44
2 I 0.0000 0.0000 0.5000  2 B 2.44
3 I 0.5000 0.0000 0.0000  2 B 2.44
4 B 0.0000 0.0000 0.0000  6 I 2.44
5 Ta 0.5000 0.5000 0.5000  12 I 3.46

The following is a meta-GGA SCAN calculation of a PBEsol-optimized structure of MgCo2W, from the Alexandria database.

Output
As for the density of states at the Fermi level: 0.75 states/eV/atom. As for the symmetry: No. 123. Its energy of formation is 0.21 eV per atom.

Cell: 2.7731 2.7724 6.7712 Å, 90.00 90.00 90.00°
Closest atoms and distances in Å follow each position.
Element x y z (fractional)
1 Co 0.0000 0.0000 0.7383  4 W 2.54, 4 Mg 2.64, 4 Co 2.77
2 Co 0.0000 0.0000 0.2617  4 W 2.54, 4 Mg 2.64, 4 Co 2.77
3 Mg 0.5000 0.5000 0.0000  8 Co 2.64, 4 Mg 2.77
4 W 0.5000 0.5000 0.5000  8 Co 2.54, 4 W 2.77

The following is a meta-GGA SCAN calculation of a PBEsol-optimized structure of LiBeMo2, from the Alexandria database.

Output
As for the density of states at the Fermi level: 0.47 states/eV/atom. As for the symmetry: No. 12. Its energy of formation is 0.33 eV per atom.

Cell: 2.5423 4.7911 4.7911 Å, 116.47 93.99 93.99°
Closest atoms and distances in Å follow each position.
Element x y z (fractional)
1 Be 0.5000 0.0000 0.0000  2 Li 2.52, 2 Be 2.54, 8 Mo 2.63-2.79
2 Li 0.5000 0.5000 0.5000  2 Be 2.52, 2 Li 2.54, 8 Mo 2.63-2.79
3 Mo 0.0000 0.5000 0.0000  4 Mo 2.52-2.54, 4 Be 2.63-2.79, 4 Li 2.63-2.79
4 Mo 0.0000 0.0000 0.5000  4 Mo 2.52-2.54, 4 Li 2.63-2.79, 4 Be 2.63-2.79

The following is a meta-GGA SCAN calculation of a PBEsol-optimized structure of LiMnBi3, from the Alexandria database.

Output
As for the density of states at the Fermi level: 0.45 states/eV/atom. As for the symmetry: No. 221. Its energy of formation is 0.39 eV per atom.

Cell: 5.0796 5.0796 5.0796 Å, 90.00 90.00 90.00°
Closest atoms and distances in Å follow each position.
Element x y z (fractional)
1 Mn 0.5000 0.5000 0.5000  12 Bi 3.59
2 Bi 0.0000 0.5000 0.0000  2 Li 2.54
3 Bi 0.0000 0.0000 0.5000  2 Li 2.54
4 Bi 0.5000 0.0000 0.0000  2 Li 2.54
5 Li 0.0000 0.0000 0.0000  6 Bi 2.54

Per-record final energy, eV/atom: -28.92, -34.90, -21.83, -38.49, -43.38, -14.19, -27.39, -14.64, -50.47, -11.66, -23.79, -58.48, -25.90, -23.29, -58.99, -47.35, -35.30, -27.11, -18.80, -50.89